First-principles (GGA-PBE) data for a relaxed Cs2GePt3 crystal, as listed in Alexandria via LeMat-Bulk.

extended XYZ file:
```
12
Lattice="-5.185 6.987 1.845 -3.951 -8.230 -1.376 6.045 2.777 6.471" Properties=species:S:1:pos:R:3 pbc="T T T"
Pt 1.294 -4.425 5.197
Pt -4.385 5.959 1.744
Ge -2.416 5.985 3.015
Pt -5.404 -0.861 3.270
Cs -1.130 2.721 4.498
Pt 2.313 2.395 3.671
Ge 3.275 3.778 5.301
Cs -1.961 -1.187 2.443
Cs 1.898 -0.926 5.381
Cs -4.989 2.460 1.560
Pt 1.291 0.991 1.696
Pt -0.431 8.773 6.620
```

Values from the calculation:
E_tot   -4.18 eV per atom
Volume   37.37 Å³ per atom
N(E_F)   0.92 states/eV/f.u.

First-principles (GGA-PBE) data for a relaxed Pu6TlSn crystal, as listed in Alexandria via LeMat-Bulk.

extended XYZ file:
```
8
Lattice="4.656 0.000 0.000 0.000 4.656 0.000 0.000 0.000 9.582" Properties=species:S:1:pos:R:3 pbc="T T T"
Pu 2.328 2.328 0.000
Sn 0.000 0.000 4.791
Pu 0.000 2.328 7.168
Pu 2.328 0.000 7.168
Pu 2.328 2.328 4.791
Pu 0.000 2.328 2.413
Pu 2.328 0.000 2.413
Tl 0.000 0.000 0.000
```

Values from the calculation:
E_tot   -11.58 eV per atom
Volume   25.97 Å³ per atom
N(E_F)   36.97 states/eV/f.u.

First-principles (GGA-PBE) data for a relaxed La2HgBi crystal, as listed in Alexandria via LeMat-Bulk.

extended XYZ file:
```
4
Lattice="0.000 3.967 3.967 3.967 0.000 3.967 3.967 3.967 0.000" Properties=species:S:1:pos:R:3 pbc="T T T"
Hg 0.000 0.000 0.000
La 5.950 5.950 5.950
La 1.983 1.983 1.983
Bi 3.967 3.967 3.967
```

Values from the calculation:
Offset from the most stable computed form   55 meV per atom
E_tot   -4.16 eV per atom
Volume   31.21 Å³ per atom
N(E_F)   3.78 states/eV/f.u.

First-principles (GGA-PBE) data for a relaxed AlAg2Ir crystal, as listed in Alexandria via LeMat-Bulk.

extended XYZ file:
```
4
Lattice="-2.378 -0.702 -2.924 -2.280 -2.010 2.337 -2.210 3.593 0.935" Properties=species:S:1:pos:R:3 pbc="T T T"
Ir -2.245 0.792 1.636
Ag 0.000 0.000 0.000
Ag -2.329 -1.356 -0.293
Al -2.294 1.446 -0.995
```

Values from the calculation:
E_tot   -4.66 eV per atom
Volume   15.88 Å³ per atom
N(E_F)   0.78 states/eV/f.u.

First-principles (GGA-PBE) data for a relaxed La8PmTm4 crystal, as listed in Alexandria via LeMat-Bulk.

extended XYZ file:
```
13
Lattice="6.373 0.000 -3.438 -4.114 5.959 0.000 1.616 1.117 10.621" Properties=species:S:1:pos:R:3 pbc="T T T"
Tm 1.130 2.979 -1.719
La -0.293 1.789 2.907
La 1.285 5.287 5.831
Tm -2.057 2.980 0.000
La 6.421 2.024 4.276
La 2.841 1.961 5.265
La 1.035 5.114 1.918
Pm -1.249 3.538 5.310
Tm 0.000 0.000 0.000
La 2.591 1.789 1.351
Tm 3.186 0.000 -1.719
La -2.545 5.051 2.907
La 4.169 5.287 4.275
```

Values from the calculation:
E_tot   -4.61 eV per atom
Volume   34.79 Å³ per atom
N(E_F)   16.92 states/eV/f.u.

First-principles (GGA-PBE) data for a relaxed La8TlCo2 crystal, as listed in Alexandria via LeMat-Bulk.

extended XYZ file:
```
11
Lattice="-5.360 1.499 -1.095 0.469 -6.263 -5.428 -1.077 -1.991 7.987" Properties=species:S:1:pos:R:3 pbc="T T T"
La -3.055 -5.323 3.252
Tl -5.360 1.472 -1.087
La -5.274 -3.727 -3.197
La -6.055 -1.569 3.578
La -2.660 -6.414 -0.173
La -4.653 -3.753 0.659
Co -2.647 -4.350 -2.218
Co -3.330 -2.465 3.700
La -2.912 -1.483 -1.772
La -1.319 -3.056 0.821
La -3.307 -0.392 1.652
```

Values from the calculation:
Offset from the most stable computed form   29 meV per atom
E_tot   -5.18 eV per atom
Volume   30.69 Å³ per atom
N(E_F)   14.13 states/eV/f.u.

First-principles (GGA-PBE) data for a relaxed Ce2NpPaAs4 crystal, as listed in Alexandria via LeMat-Bulk.

extended XYZ file:
```
8
Lattice="4.164 0.000 0.000 0.000 7.187 0.113 0.000 -2.522 6.776" Properties=species:S:1:pos:R:3 pbc="T T T"
As 2.082 1.180 1.665
As 0.000 4.746 1.721
Np 0.000 0.000 0.000
As 2.082 3.484 5.224
As 0.000 -0.081 5.168
Pa 2.082 3.593 0.056
Ce 0.000 2.332 3.444
Ce 2.082 -1.261 3.388
```

Values from the calculation:
E_tot   -7.76 eV per atom
Volume   25.49 Å³ per atom
N(E_F)   20.48 states/eV/f.u.

First-principles (GGA-PBE) data for a relaxed Na3AcDy2O6 crystal, as listed in Alexandria via LeMat-Bulk.

extended XYZ file:
```
12
Lattice="-2.968 0.114 -1.896 -3.714 -1.061 5.751 1.877 7.709 0.800" Properties=species:S:1:pos:R:3 pbc="T T T"
Na -3.341 -0.474 1.927
O -3.450 2.251 2.262
Dy -1.152 2.262 1.940
O -3.866 6.755 3.183
O -1.799 2.477 -0.308
Dy -3.653 4.500 2.715
Na -2.978 1.879 4.774
O -1.355 4.511 2.393
Ac -1.484 0.057 -0.948
O -0.940 0.007 1.472
O -3.006 4.285 4.963
Na -1.828 4.884 -0.119
```

Values from the calculation:
E_tot   -6.60 eV per atom
Volume   15.51 Å³ per atom
N(E_F)   0.00 states/eV/f.u.

First-principles (GGA-PBE) data for a relaxed KIn4AgAu2 crystal, as listed in Alexandria via LeMat-Bulk.

extended XYZ file:
```
8
Lattice="4.703 0.000 0.000 2.351 4.073 0.000 2.351 1.358 11.088" Properties=species:S:1:pos:R:3 pbc="T T T"
In 4.703 2.715 2.358
In 4.703 2.715 8.730
Au 7.054 4.073 7.585
In 7.054 4.073 4.349
Ag 4.703 2.715 5.544
K 0.000 0.000 0.000
In 2.351 1.358 6.738
Au 2.351 1.358 3.502
```

Values from the calculation:
E_tot   -2.84 eV per atom
Volume   26.55 Å³ per atom
N(E_F)   3.63 states/eV/f.u.

First-principles (GGA-PBE) data for a relaxed SrBeCd2 crystal, as listed in Alexandria via LeMat-Bulk.

extended XYZ file:
```
4
Lattice="4.803 0.000 0.000 0.000 4.581 0.000 0.000 0.000 4.581" Properties=species:S:1:pos:R:3 pbc="T T T"
Cd 0.000 2.290 2.290
Sr 2.402 2.290 0.000
Cd 0.000 0.000 0.000
Be 2.402 0.000 2.290
```

Values from the calculation:
E_tot   -1.54 eV per atom
Volume   25.19 Å³ per atom
N(E_F)   2.78 states/eV/f.u.

First-principles (GGA-PBE) data for a relaxed NaSc2GaTc crystal, as listed in Alexandria via LeMat-Bulk.

extended XYZ file:
```
5
Lattice="5.116 0.000 0.000 0.000 4.881 0.000 0.000 0.000 5.116" Properties=species:S:1:pos:R:3 pbc="T T T"
Sc 0.000 0.000 2.558
Tc 2.558 2.440 2.558
Sc 2.558 0.000 0.000
Ga 0.000 0.000 0.000
Na 0.000 2.440 0.000
```

Values from the calculation:
E_tot   -4.54 eV per atom
Volume   25.55 Å³ per atom
N(E_F)   7.03 states/eV/f.u.

First-principles (GGA-PBE) data for a relaxed CuNiAg2 crystal, as listed in Alexandria via LeMat-Bulk.

extended XYZ file:
```
4
Lattice="0.000 3.081 3.081 3.081 0.000 3.081 3.081 3.081 0.000" Properties=species:S:1:pos:R:3 pbc="T T T"
Cu 3.081 3.081 3.081
Ag 1.541 1.541 1.541
Ni 0.000 0.000 0.000
Ag 4.622 4.622 4.622
```

Values from the calculation:
Offset from the most stable computed form   84 meV per atom
E_tot   -3.68 eV per atom
Volume   14.63 Å³ per atom
N(E_F)   1.95 states/eV/f.u.

First-principles (GGA-PBE) data for a relaxed BC3 crystal, as listed in Alexandria via LeMat-Bulk.

extended XYZ file:
```
12
Lattice="4.307 0.031 -1.244 2.764 3.303 -1.244 0.082 0.039 5.247" Properties=species:S:1:pos:R:3 pbc="T T T"
B 4.293 0.053 -1.227
B 5.162 1.396 1.402
C 4.748 2.311 2.765
C 3.247 2.512 0.144
C 2.456 1.118 2.656
C 5.081 1.462 -1.221
C 2.828 0.275 1.397
C 3.206 2.453 2.652
C 4.721 2.298 0.040
C 2.792 3.276 1.393
B 2.363 1.143 0.029
C 2.756 0.281 3.904
```

Values from the calculation:
Offset from the most stable computed form   73 meV per atom
E_tot   -8.27 eV per atom
Volume   6.22 Å³ per atom
N(E_F)   1.02 states/eV/f.u.

First-principles (GGA-PBE) data for a relaxed AcSmHgPt crystal, as listed in Alexandria via LeMat-Bulk.

extended XYZ file:
```
4
Lattice="5.374 0.000 0.000 2.687 4.654 0.000 2.687 1.551 4.388" Properties=species:S:1:pos:R:3 pbc="T T T"
Ac 8.061 4.654 3.291
Pt 5.374 3.103 2.194
Hg 0.000 0.000 0.000
Sm 2.687 1.551 1.097
```

Values from the calculation:
E_tot   -4.48 eV per atom
Volume   27.44 Å³ per atom
N(E_F)   3.21 states/eV/f.u.

First-principles (GGA-PBE) data for a relaxed CoS2I crystal, as listed in Alexandria via LeMat-Bulk.

extended XYZ file:
```
4
Lattice="2.046 0.000 7.438 -1.023 1.772 7.438 -1.023 -1.772 7.438" Properties=species:S:1:pos:R:3 pbc="T T T"
S 0.000 0.000 2.664
Co 0.000 0.000 11.157
S 0.000 0.000 19.650
I 0.000 0.000 0.000
```

Values from the calculation:
Offset from the most stable computed form   0 meV per atom
E_tot   -4.33 eV per atom
Volume   20.22 Å³ per atom
N(E_F)   2.03 states/eV/f.u.

First-principles (GGA-PBE) data for a relaxed SrRuI2O crystal, as listed in Alexandria via LeMat-Bulk.

extended XYZ file:
```
5
Lattice="6.347 0.000 0.000 0.000 6.347 0.000 0.000 0.000 4.237" Properties=species:S:1:pos:R:3 pbc="T T T"
I 0.000 3.174 0.000
Ru 3.174 3.174 2.118
I 3.174 0.000 0.000
O 0.000 0.000 2.118
Sr 0.000 0.000 0.000
```

Values from the calculation:
Offset from the most stable computed form   948 meV per atom
E_tot   -3.61 eV per atom
Volume   34.13 Å³ per atom
N(E_F)   5.03 states/eV/f.u.

First-principles (GGA-PBE) data for a relaxed Th2Be3GaIr4 crystal, as listed in Alexandria via LeMat-Bulk.

extended XYZ file:
```
10
Lattice="4.108 0.000 0.000 0.000 4.108 0.000 0.000 0.000 9.815" Properties=species:S:1:pos:R:3 pbc="T T T"
Be 0.000 2.054 1.085
Be 2.054 0.000 8.730
Ga 2.054 2.054 4.908
Th 0.000 2.054 7.531
Ir 2.054 2.054 0.000
Ir 2.054 0.000 6.334
Th 2.054 0.000 2.285
Ir 0.000 2.054 3.481
Ir 0.000 0.000 0.000
Be 0.000 0.000 4.908
```

Values from the calculation:
E_tot   -7.18 eV per atom
Volume   16.56 Å³ per atom
N(E_F)   5.07 states/eV/f.u.

First-principles (GGA-PBE) data for a relaxed BeC crystal, as listed in Alexandria via LeMat-Bulk.

extended XYZ file:
```
4
Lattice="-0.862 -1.734 0.544 -0.171 -0.522 -1.935 7.701 -3.726 0.325" Properties=species:S:1:pos:R:3 pbc="T T T"
Be 4.441 -2.838 -0.149
C 5.098 -4.534 -0.795
Be 2.227 -3.144 -0.916
C 1.570 -1.448 -0.271
```

Values from the calculation:
Offset from the most stable computed form   1352 meV per atom
E_tot   -4.80 eV per atom
Volume   8.66 Å³ per atom
N(E_F)   0.16 states/eV/f.u.

First-principles (GGA-PBE) data for a relaxed Hf2SiPdBr crystal, as listed in Alexandria via LeMat-Bulk.

extended XYZ file:
```
5
Lattice="-2.227 4.586 -0.502 -0.616 -0.848 -5.014 -4.258 -1.974 0.857" Properties=species:S:1:pos:R:3 pbc="T T T"
Br -2.129 -0.987 0.429
Hf -0.308 -0.424 -2.507
Hf -1.113 2.293 -0.251
Pd 0.000 0.000 0.000
Si -3.550 0.882 -2.329
```

Values from the calculation:
E_tot   -5.63 eV per atom
Volume   25.04 Å³ per atom
N(E_F)   4.91 states/eV/f.u.

First-principles (GGA-PBE) data for a relaxed DyHfGa4 crystal, as listed in Alexandria via LeMat-Bulk.

extended XYZ file:
```
6
Lattice="-3.906 0.113 -3.690 0.736 -2.373 -4.765 -2.686 -4.495 -1.207" Properties=species:S:1:pos:R:3 pbc="T T T"
Hf 0.000 0.000 0.000
Ga -2.315 -1.971 -5.437
Dy -1.464 -1.689 -2.416
Ga -1.704 -4.281 -4.192
Ga -3.662 -4.224 -6.042
Ga -4.031 -3.035 -3.653
```

Values from the calculation:
Offset from the most stable computed form   31 meV per atom
E_tot   -4.87 eV per atom
Volume   18.29 Å³ per atom
N(E_F)   2.39 states/eV/f.u.

First-principles (GGA-PBE) data for a relaxed PrHoCdRu crystal, as listed in Alexandria via LeMat-Bulk.

extended XYZ file:
```
4
Lattice="3.522 0.000 0.000 0.000 3.522 0.000 0.000 0.000 7.819" Properties=species:S:1:pos:R:3 pbc="T T T"
Cd 0.000 0.000 0.694
Pr 1.761 1.761 6.151
Ru 0.000 0.000 4.339
Ho 1.761 1.761 2.770
```

Values from the calculation:
Offset from the most stable computed form   0 meV per atom
E_tot   -5.20 eV per atom
Volume   24.24 Å³ per atom
N(E_F)   3.92 states/eV/f.u.

First-principles (GGA-PBE) data for a relaxed GeRuRhO6 crystal, as listed in Alexandria via LeMat-Bulk.

extended XYZ file:
```
18
Lattice="-0.210 3.823 -2.412 2.279 -1.996 -3.361 -7.974 -2.800 -3.745" Properties=species:S:1:pos:R:3 pbc="T T T"
Ge -5.608 -1.419 -6.006
O 0.455 -1.369 -3.817
O -2.152 -2.247 -5.029
O -4.876 -3.172 -6.299
O -6.371 0.323 -5.729
O -6.495 -1.515 -7.738
O -1.224 0.340 -5.294
Ru -2.971 -0.493 -4.768
O -3.670 1.303 -4.450
O -1.092 2.246 -3.227
Rh -5.306 -1.863 -2.492
O -2.050 -0.389 -2.989
O -3.914 -0.616 -6.488
Ge -2.655 -0.932 -1.247
Rh -0.284 0.451 -3.506
O -7.302 -2.228 -5.487
Ru -0.019 -0.007 -0.009
O -4.698 -1.307 -4.302
```

Values from the calculation:
E_tot   -6.75 eV per atom
Volume   10.51 Å³ per atom
N(E_F)   3.16 states/eV/f.u.

First-principles (GGA-PBE) data for a relaxed K2Na2Mg crystal, as listed in Alexandria via LeMat-Bulk.

extended XYZ file:
```
10
Lattice="-7.260 7.587 1.968 -5.040 -6.573 6.748 2.390 1.456 3.204" Properties=species:S:1:pos:R:3 pbc="T T T"
K -2.905 -0.828 2.544
Na -2.860 -2.432 6.064
K -5.766 3.970 2.498
K -9.394 1.842 6.172
Mg -6.150 0.507 4.358
Na -7.752 -0.284 8.738
Mg 0.000 0.000 0.000
K -6.534 -2.956 6.219
Na -7.049 4.902 5.856
Na -2.158 2.754 3.183
```

Values from the calculation:
Offset from the most stable computed form   106 meV per atom
E_tot   -1.05 eV per atom
Volume   48.56 Å³ per atom
N(E_F)   4.36 states/eV/f.u.

First-principles (GGA-PBE) data for a relaxed BaWN3 crystal, as listed in Alexandria via LeMat-Bulk.

extended XYZ file:
```
10
Lattice="3.701 -2.137 0.000 0.000 4.273 0.000 0.000 0.000 8.510" Properties=species:S:1:pos:R:3 pbc="T T T"
Ba 1.234 2.137 6.382
N 2.467 0.000 8.158
N 0.000 0.000 6.382
N 0.000 0.000 2.127
N 1.234 2.137 0.352
W 0.000 0.000 4.255
N 2.467 0.000 4.607
W 0.000 0.000 0.000
N 1.234 2.137 3.903
Ba 2.467 0.000 2.127
```

Values from the calculation:
E_tot   -7.15 eV per atom
Volume   13.46 Å³ per atom
N(E_F)   1.79 states/eV/f.u.

First-principles (GGA-PBE) data for a relaxed Tb3Nd6Sm2 crystal, as listed in Alexandria via LeMat-Bulk.

extended XYZ file:
```
11
Lattice="-2.987 -0.957 -1.845 -1.514 -3.263 0.554 -20.121 11.234 23.156" Properties=species:S:1:pos:R:3 pbc="T T T"
Tb -4.856 0.871 3.820
Sm -14.880 5.251 14.186
Sm -9.742 1.763 7.678
Nd -15.086 7.816 16.779
Nd -14.675 2.687 11.596
Nd -9.947 4.327 10.268
Nd -4.678 -1.674 1.264
Tb 0.000 0.000 0.000
Nd -9.535 -0.802 5.086
Tb -19.766 6.143 18.045
Nd -19.943 8.689 20.600
```

Values from the calculation:
Offset from the most stable computed form   0 meV per atom
E_tot   -4.71 eV per atom
Volume   33.99 Å³ per atom
N(E_F)   13.91 states/eV/f.u.